No. 1
Li3Ac3MoO8, optimized geometry, DFT GGA+U; space group = C2/m
1.0
-0.200 -7.096 -1.728
-0.851 2.067 7.058
-4.179 1.249 -4.645
Ac O Li Mo
3 8 3 1
direct
0.500 0.500 0.500
0.500 0.000 0.500
0.000 0.500 0.500
0.797 0.012 0.733
0.259 0.518 0.264
0.785 0.988 0.267
0.215 0.012 0.733
0.223 0.446 0.738
0.777 0.554 0.262
0.741 0.482 0.736
0.203 0.988 0.267
0.000 0.000 0.000
0.500 0.500 0.000
0.000 0.500 0.000
0.000 0.000 0.500

No. 2
LiAc2MoO5, optimized geometry, DFT GGA+U; space group = P4/mbm
1.0
-5.254 -2.596 0.552
3.205 -6.549 -0.297
0.745 0.035 7.259
O Mo Ac Li
10 2 4 2
direct
0.242 0.632 0.868
0.242 0.368 0.132
0.758 0.132 0.632
0.758 0.868 0.368
0.242 0.132 0.632
0.500 0.000 0.000
0.500 0.500 0.500
0.758 0.368 0.132
0.242 0.868 0.368
0.758 0.632 0.868
0.000 0.500 0.000
0.000 0.000 0.500
0.500 0.181 0.319
0.500 0.319 0.819
0.500 0.681 0.181
0.500 0.819 0.681
0.000 0.000 0.000
0.000 0.500 0.500

No. 3
LiAc3Mo2O9, optimized geometry, DFT GGA+U; space group = P-3m1
1.0
-4.868 -1.050 -2.768
4.670 -3.034 -1.200
-1.842 -4.843 5.076
Ac O Mo Li
3 9 2 1
direct
0.333 0.667 0.640
0.667 0.333 0.360
0.000 0.000 0.000
0.660 0.830 0.336
0.000 0.500 0.000
0.170 0.830 0.336
0.830 0.660 0.664
0.830 0.170 0.664
0.340 0.170 0.664
0.500 0.500 0.000
0.500 0.000 0.000
0.170 0.340 0.336
0.667 0.333 0.827
0.333 0.667 0.173
0.000 0.000 0.500

No. 4
Li2Ac3MoO9, optimized geometry, DFT GGA+U; space group = P-3m1
1.0
5.607 0.000 0.000
-2.804 4.856 0.000
0.000 0.000 7.053
O Li Ac Mo
9 2 3 1
direct
0.839 0.679 0.662
0.679 0.839 0.338
0.161 0.839 0.338
0.500 0.500 0.000
0.500 0.000 0.000
0.321 0.161 0.662
0.000 0.500 0.000
0.839 0.161 0.662
0.161 0.321 0.338
0.333 0.667 0.181
0.667 0.333 0.819
0.000 0.000 0.000
0.333 0.667 0.713
0.667 0.333 0.287
0.000 0.000 0.500

No. 5
Li4AcMo3O12, optimized geometry, DFT GGA+U; space group = Im-3
1.0
6.586 0.000 0.000
-2.195 6.210 0.000
-2.195 -3.105 5.378
Ac O Mo Li
1 12 3 4
direct
0.000 0.000 0.000
0.851 0.679 0.172
0.172 0.851 0.679
0.828 0.507 0.679
0.149 0.321 0.828
0.321 0.828 0.149
0.493 0.321 0.172
0.507 0.679 0.828
0.172 0.493 0.321
0.321 0.172 0.493
0.679 0.828 0.507
0.679 0.172 0.851
0.828 0.149 0.321
0.500 0.500 0.000
0.000 0.500 0.500
0.500 0.000 0.500
0.500 0.000 0.000
0.000 0.000 0.500
0.500 0.500 0.500
0.000 0.500 0.000

No. 6
LiAcMoO5, optimized geometry, DFT GGA+U; space group = C2/c
1.0
6.374 0.991 -0.113
-0.913 6.385 -0.113
-2.363 -3.191 7.750
O Li Ac Mo
10 2 2 2
direct
0.714 0.263 0.076
0.286 0.737 0.924
0.312 0.341 0.171
0.737 0.286 0.424
0.688 0.659 0.829
0.900 0.100 0.750
0.341 0.312 0.671
0.100 0.900 0.250
0.263 0.714 0.576
0.659 0.688 0.329
0.697 0.303 0.750
0.303 0.697 0.250
0.000 0.000 0.500
0.000 0.000 0.000
0.611 0.389 0.250
0.389 0.611 0.750

No. 7
LiAcMoO4, optimized geometry, DFT GGA+U; space group = Imma
1.0
-4.079 -2.324 4.546
-4.686 -4.832 -1.977
1.570 -6.166 2.953
O Ac Mo Li
8 2 2 2
direct
0.254 0.830 0.663
0.801 0.220 0.720
0.199 0.780 0.280
0.260 0.220 0.720
0.254 0.163 0.330
0.746 0.837 0.670
0.746 0.170 0.337
0.740 0.780 0.280
0.000 0.000 0.000
0.000 0.500 0.500
0.500 0.000 0.500
0.000 0.000 0.500
0.473 0.277 0.777
0.527 0.723 0.223

No. 8
Li3Ac2MoO6, optimized geometry, DFT GGA+U; space group = C2/m
1.0
6.412 -0.334 0.155
-3.494 5.387 0.155
-0.838 -1.451 5.012
O Ac Li Mo
6 2 3 1
direct
0.946 0.660 0.758
0.340 0.054 0.242
0.744 0.744 0.242
0.054 0.340 0.242
0.660 0.946 0.758
0.256 0.256 0.758
0.668 0.332 0.000
0.332 0.668 0.000
0.106 0.894 0.500
0.500 0.500 0.500
0.894 0.106 0.500
0.000 0.000 0.000

No. 9
Li2Ac3MoO8, optimized geometry, DFT GGA+U; space group = P-3m1
1.0
-2.456 -0.553 5.055
-2.768 -1.556 -4.670
2.727 -6.647 0.598
O Ac Li Mo
8 3 2 1
direct
0.667 0.333 0.046
0.333 0.667 0.954
0.679 0.839 0.330
0.321 0.161 0.670
0.161 0.321 0.330
0.839 0.679 0.670
0.161 0.839 0.330
0.839 0.161 0.670
0.000 0.000 0.000
0.667 0.333 0.349
0.333 0.667 0.651
0.667 0.333 0.797
0.333 0.667 0.203
0.000 0.000 0.500

| no. | M_tot (μB/cell) | raw total energy (eV/atom) |
| --- | --- | --- |
| 1 | 2.00 | -6.709 |
| 2 | 1.99 | -6.984 |
| 3 | 4.00 | -7.424 |
| 4 | 1.00 | -7.040 |
| 5 | 1.00 | -6.300 |
| 6 | 0.00 | -7.002 |
| 7 | 4.00 | -6.986 |
| 8 | 3.00 | -6.530 |
| 9 | 1.00 | -7.021 |